1.
A relaxed TlPbC3 crystal. Source: Alexandria, functional GGA-PBEsol.

```
5
Lattice="4.5232 0.0000 0.0000 0.0000 4.5232 0.0000 0.0000 0.0000 4.5232" Properties=species:S:1:pos:R:3 pbc="T T T"
Tl 0.0000 0.0000 0.0000
Pb 2.2616 2.2616 2.2616
C 0.0000 2.2616 2.2616
C 2.2616 0.0000 2.2616
C 2.2616 2.2616 0.0000
```

Symmetry: Pm-3m, No. 221
Spin magnetization in μB per formula unit: 2.7
ΔE_f in kJ per mole of atoms: 313.2



2.
A relaxed YZnPb2C crystal. Source: Alexandria, functional GGA-PBEsol.

```
5
Lattice="5.8884 0.0000 0.0000 0.0000 5.8884 0.0000 0.0000 0.0000 4.3137" Properties=species:S:1:pos:R:3 pbc="T T T"
Y 0.0000 0.0000 0.0000
Zn 2.9442 2.9442 2.1568
Pb 0.0000 2.9442 0.0000
Pb 2.9442 0.0000 0.0000
C 0.0000 0.0000 2.1568
```

Symmetry: P4/mmm, No. 123
Spin magnetization in μB per formula unit: 0.0
ΔE_f in kJ per mole of atoms: 119.5